No. 1
First-principles (PBE) data for Y12ScTl3 after structural relaxation, as listed in the Alexandria database.

extended XYZ file:
```
16
Lattice="4.8703 0.0000 0.0000 0.0000 4.8703 0.0000 0.0000 0.0000 19.7910" Properties=species:S:1:pos:R:3 pbc="T T T"
Y 0.0000 0.0000 0.0000
Y 0.0000 0.0000 4.8956
Y 0.0000 0.0000 9.8955
Y 0.0000 0.0000 14.8954
Y 0.0000 2.4352 2.4456
Y 0.0000 2.4352 7.3856
Y 0.0000 2.4352 12.4054
Y 0.0000 2.4352 17.3454
Y 2.4352 0.0000 2.4456
Y 2.4352 0.0000 7.3856
Y 2.4352 0.0000 12.4054
Y 2.4352 0.0000 17.3454
Sc 2.4352 2.4352 9.8955
Tl 2.4352 2.4352 0.0000
Tl 2.4352 2.4352 4.8591
Tl 2.4352 2.4352 14.9319
```

density of states at the Fermi level	1.33	states/eV per atom
VASP energy	-93.146	eV per cell
space group	P4/mmm (123)
energy of formation	-2.15	eV per formula unit


No. 2
First-principles (PBE) data for Zr6Al3Au after structural relaxation, as listed in the Alexandria database.

extended XYZ file:
```
20
Lattice="8.4566 0.0000 0.0000 0.0000 10.6764 0.0000 0.0000 0.0000 4.7600" Properties=species:S:1:pos:R:3 pbc="T T T"
Zr 0.0929 2.6719 0.0000
Zr 1.4327 0.9904 2.3800
Zr 1.4723 4.3514 2.3800
Zr 2.7560 9.6897 0.0000
Zr 2.7956 6.3286 0.0000
Zr 4.1354 8.0101 2.3800
Zr 4.3212 2.6663 2.3800
Zr 5.6610 4.3478 0.0000
Zr 5.7007 0.9868 0.0000
Zr 6.9843 6.3250 2.3800
Zr 7.0239 9.6860 2.3800
Zr 8.3637 8.0045 0.0000
Al 0.0000 0.0000 0.0000
Al 1.3575 8.2512 2.3800
Al 2.8708 2.9130 0.0000
Al 4.2283 5.3382 2.3800
Al 5.5858 7.7635 0.0000
Al 7.0991 2.4253 2.3800
Au 0.0000 5.3382 0.0000
Au 4.2283 0.0000 2.3800
```

density of states at the Fermi level	1.17	states/eV per atom
VASP energy	-135.139	eV per cell
space group	Pnnm (58)
energy of formation	-1.78	eV per formula unit


Look up the VASP energy of the second one.
-135.139 eV per cell


Among the records above, which one has the lowest energy of formation?
Y12ScTl3


Which of these has the lowest density of states at the Fermi level?
Zr6Al3Au